A PBEsol-optimized structure of TcSeSCl2. Source: Alexandria, functional meta-GGA SCAN.

POSCAR file:
```
TcSeSCl2
1.0
-1.1474 -1.7377 -4.0176
-1.9362 -3.6469 2.1304
-4.0559 2.2592 0.1812
Tc Cl Se S
1 2 1 1
Direct
0.0000 0.0000 0.0000
0.0000 0.0000 0.5000
0.0000 0.5000 0.0000
0.5000 0.5000 0.5000
0.5000 0.0000 0.0000
```

Formation energy (no corrections) = 186 meV per atom

---

A PBEsol-optimized structure of SrMg2P. Source: Alexandria, functional meta-GGA SCAN.

POSCAR file:
```
SrMg2P
1.0
-1.3012 -2.1483 3.3166
4.6741 1.1156 2.5564
-4.0095 3.6248 0.7748
P Mg Sr
1 2 1
Direct
0.5000 0.0000 0.5000
0.0000 0.8320 0.6688
0.0000 0.1680 0.3312
0.5000 0.5000 0.0000
```

Formation energy from the elements = -0.468 eV/atom

---

A PBEsol-optimized structure of LiCu2Ir. Source: Alexandria, functional meta-GGA SCAN.

POSCAR file:
```
LiCu2Ir
1.0
2.4873 0.0000 0.0000
0.0000 3.9313 0.0000
0.0000 0.0000 5.0774
Li Cu Ir
1 2 1
Direct
0.5000 0.5000 0.5000
0.0000 0.0000 0.7541
0.0000 0.0000 0.2459
0.5000 0.5000 0.0000
```

Formation energy from the elements = -0.011 eV/atom
Relative energy among the computed polymorphs = 108 meV/atom

---

A PBEsol-optimized structure of FeSbAu2N. Source: Alexandria, functional meta-GGA SCAN.

POSCAR file:
```
FeSbAu2N
1.0
-0.4049 -3.2573 0.7217
4.8054 -0.2983 1.3497
-1.2441 1.1946 4.6933
Sb N Fe Au
1 1 1 2
Direct
0.5000 0.5000 0.5000
0.5000 0.0000 0.0000
0.0000 0.0000 0.0000
0.0000 0.0000 0.5000
0.0000 0.5000 0.0000
```

Formation energy (no corrections) = 377 meV per atom

---

no.,energy (eV/atom),V (Å³/f.u.)
1,-15.959,98
2,-11.123,112
3,-25.983,50
4,-40.222,84